MnFe2F8 PBE with a Hubbard U optimized geometry; SG = No. 12; D(E_F) = 0.000 states/eV/atom; energy relative to the lowest polymorph listed for this composition = 0.0 meV/atom
1.0
4.153 -3.226 0.000
4.153 3.226 0.000
-1.143 0.000 5.154
Mn Fe F
1 2 8
direct
0.000 0.000 0.000
0.317 0.317 0.555
0.683 0.683 0.445
0.050 0.667 0.676
0.193 0.193 0.816
0.333 0.950 0.324
0.438 0.438 0.270
0.562 0.562 0.730
0.667 0.050 0.676
0.807 0.807 0.184
0.950 0.333 0.324